1.
## SrBi12Pd6 (PBE-GGA)

Data for a relaxed structure of SrBi12Pd6.

a b c (Å): 8.5328 8.5328 8.5328
angles (deg): 106.69 106.69 106.69
Fractional positions:
Sr1 0.0000 0.0000 0.0000
Bi1 0.1185 0.5000 0.8815
Bi2 0.1185 0.8815 0.5000
Bi3 0.1649 0.4237 0.4237
Bi4 0.4237 0.1649 0.4237
Bi5 0.4237 0.4237 0.1649
Bi6 0.5000 0.1185 0.8815
Bi7 0.5000 0.8815 0.1185
Bi8 0.5763 0.5763 0.8351
Bi9 0.5763 0.8351 0.5763
Bi10 0.8351 0.5763 0.5763
Bi11 0.8815 0.1185 0.5000
Bi12 0.8815 0.5000 0.1185
Pd1 0.2618 0.2618 0.7254
Pd2 0.2618 0.7254 0.2618
Pd3 0.2746 0.7382 0.7382
Pd4 0.7254 0.2618 0.2618
Pd5 0.7382 0.2746 0.7382
Pd6 0.7382 0.7382 0.2746

Computed properties:
Electronic total energy ... -83.392 eV for the cell shown
Space-group type ... R-3m, No. 166
Formation enthalpy at 0 K ... -384 kJ/mol of formula units
Spin magnetization ... 0.00 Bohr magnetons per cell
V ... 27.46 Å³/atom

---

2.
## SrBi4Pd6 (PBE-GGA)

Data for a relaxed structure of SrBi4Pd6.

a b c (Å): 7.1916 7.1916 7.1916
angles (deg): 121.26 121.26 87.83
Fractional positions:
Sr1 0.0000 0.0000 0.0000
Bi1 0.1206 0.1206 0.5798
Bi2 0.4592 0.8794 0.0000
Bi3 0.5408 0.5408 0.4202
Bi4 0.8794 0.4592 0.0000
Pd1 0.0000 0.5000 0.5000
Pd2 0.2379 0.5666 0.0000
Pd3 0.4334 0.4334 0.6713
Pd4 0.5000 0.0000 0.5000
Pd5 0.5666 0.2379 0.0000
Pd6 0.7621 0.7621 0.3287

Computed properties:
Electronic total energy ... -52.078 eV for the cell shown
Space-group type ... I-42m, No. 121
Formation enthalpy at 0 K ... -358 kJ/mol of formula units
Spin magnetization ... 0.00 Bohr magnetons per cell
V ... 23.44 Å³/atom

---

3.
## Sr2Bi5Pd3 (PBE-GGA)

Data for a relaxed structure of Sr2Bi5Pd3.

a b c (Å): 9.5816 9.5816 9.5816
angles (deg): 106.96 89.70 135.53
Fractional positions:
Sr1 0.1472 0.2308 0.3781
Sr2 0.3528 0.7308 0.0836
Sr3 0.6472 0.2692 0.9164
Sr4 0.8528 0.7692 0.6219
Bi1 0.0235 0.7500 0.2735
Bi2 0.0841 0.6646 0.7488
Bi3 0.2500 0.2500 0.0000
Bi4 0.4159 0.1646 0.5805
Bi5 0.4765 0.7500 0.7265
Bi6 0.5235 0.2500 0.2735
Bi7 0.5841 0.8354 0.4195
Bi8 0.7500 0.7500 0.0000
Bi9 0.9159 0.3354 0.2512
Bi10 0.9765 0.2500 0.7265
Pd1 0.1406 0.8963 0.0369
Pd2 0.2500 0.7500 0.5000
Pd3 0.3594 0.3963 0.7556
Pd4 0.6406 0.6037 0.2444
Pd5 0.7500 0.2500 0.5000
Pd6 0.8594 0.1037 0.9631

Computed properties:
Electronic total energy ... -86.492 eV for the cell shown
Space-group type ... Ibam, No. 72
Formation enthalpy at 0 K ... -473 kJ/mol of formula units
Spin magnetization ... 0.00 Bohr magnetons per cell
V ... 28.09 Å³/atom
Excess energy over the best structure of this formula in the dataset ... 42.1 meV/atom

---

4.
## SrBi3Pd3 (PBE-GGA)

Data for a relaxed structure of SrBi3Pd3.

a b c (Å): 7.5873 7.5873 7.5873
angles (deg): 90.00 90.00 90.00
Fractional positions:
Sr1 0.0000 0.0000 0.0000
Sr2 0.5000 0.5000 0.5000
Bi1 0.0000 0.2500 0.5000
Bi2 0.0000 0.7500 0.5000
Bi3 0.2500 0.5000 0.0000
Bi4 0.5000 0.0000 0.2500
Bi5 0.5000 0.0000 0.7500
Bi6 0.7500 0.5000 0.0000
Pd1 0.0000 0.5000 0.2500
Pd2 0.0000 0.5000 0.7500
Pd3 0.2500 0.0000 0.5000
Pd4 0.5000 0.2500 0.0000
Pd5 0.5000 0.7500 0.0000
Pd6 0.7500 0.0000 0.5000

Computed properties:
Electronic total energy ... -60.543 eV for the cell shown
Space-group type ... Pm-3n, No. 223
Formation enthalpy at 0 K ... -132 kJ/mol of formula units
Spin magnetization ... 0.00 Bohr magnetons per cell
V ... 31.20 Å³/atom
Excess energy over the best structure of this formula in the dataset ... 266.3 meV/atom

---

5.
## Sr3Bi2Pd (PBE-GGA)

Data for a relaxed structure of Sr3Bi2Pd.

a b c (Å): 13.2064 4.8603 12.8178
angles (deg): 90.00 90.00 90.00
Fractional positions:
Sr1 0.0541 0.2500 0.1249
Sr2 0.1156 0.7500 0.5497
Sr3 0.2279 0.2500 0.8019
Sr4 0.2721 0.7500 0.3019
Sr5 0.3844 0.2500 0.0497
Sr6 0.4459 0.7500 0.6249
Sr7 0.5541 0.2500 0.3751
Sr8 0.6156 0.7500 0.9503
Sr9 0.7279 0.2500 0.6981
Sr10 0.7721 0.7500 0.1981
Sr11 0.8844 0.2500 0.4503
Sr12 0.9459 0.7500 0.8751
Bi1 0.0114 0.7500 0.3072
Bi2 0.1963 0.7500 0.9975
Bi3 0.3037 0.2500 0.4975
Bi4 0.4886 0.2500 0.8072
Bi5 0.5114 0.7500 0.1928
Bi6 0.6963 0.7500 0.5025
Bi7 0.8037 0.2500 0.0025
Bi8 0.9886 0.2500 0.6928
Pd1 0.1242 0.2500 0.3674
Pd2 0.3758 0.7500 0.8674
Pd3 0.6242 0.2500 0.1326
Pd4 0.8758 0.7500 0.6326

Computed properties:
Electronic total energy ... -92.699 eV for the cell shown
Space-group type ... Pnma, No. 62
Formation enthalpy at 0 K ... -499 kJ/mol of formula units
Spin magnetization ... 0.00 Bohr magnetons per cell
V ... 34.28 Å³/atom

---

6.
## Sr3Bi4Pd3 (PBE-GGA)

Data for a relaxed structure of Sr3Bi4Pd3.

a b c (Å): 9.0408 9.0408 9.0408
angles (deg): 109.47 109.47 109.47
Fractional positions:
Sr1 0.1250 0.8750 0.2500
Sr2 0.2500 0.1250 0.8750
Sr3 0.3750 0.6250 0.7500
Sr4 0.6250 0.7500 0.3750
Sr5 0.7500 0.3750 0.6250
Sr6 0.8750 0.2500 0.1250
Bi1 0.0000 0.1545 0.5000
Bi2 0.0000 0.6545 0.5000
Bi3 0.1545 0.5000 0.0000
Bi4 0.3455 0.3455 0.3455
Bi5 0.5000 0.0000 0.1545
Bi6 0.5000 0.0000 0.6545
Bi7 0.6545 0.5000 0.0000
Bi8 0.8455 0.8455 0.8455
Pd1 0.1250 0.7500 0.8750
Pd2 0.2500 0.6250 0.3750
Pd3 0.3750 0.2500 0.6250
Pd4 0.6250 0.3750 0.2500
Pd5 0.7500 0.8750 0.1250
Pd6 0.8750 0.1250 0.7500

Computed properties:
Electronic total energy ... -84.766 eV for the cell shown
Space-group type ... I-43d, No. 220
Formation enthalpy at 0 K ... -602 kJ/mol of formula units
Spin magnetization ... 0.00 Bohr magnetons per cell
V ... 28.44 Å³/atom

---

7.
## SrBi4Pd9 (PBE-GGA)

Data for a relaxed structure of SrBi4Pd9.

a b c (Å): 9.4897 9.4897 9.4897
angles (deg): 122.06 122.06 86.47
Fractional positions:
Sr1 0.2500 0.2500 0.0000
Sr2 0.7500 0.7500 0.0000
Bi1 0.0531 0.5531 0.8530
Bi2 0.2001 0.0531 0.5000
Bi3 0.2999 0.7999 0.8530
Bi4 0.4469 0.2999 0.5000
Bi5 0.5531 0.7001 0.5000
Bi6 0.7001 0.2001 0.1470
Bi7 0.7999 0.9469 0.5000
Bi8 0.9469 0.4469 0.1470
Pd1 0.0000 0.5000 0.5000
Pd2 0.0613 0.8022 0.5000
Pd3 0.0663 0.2027 0.2690
Pd4 0.1978 0.6978 0.2591
Pd5 0.2027 0.9337 0.1364
Pd6 0.2973 0.4337 0.7310
Pd7 0.3022 0.5613 0.5000
Pd8 0.4337 0.7027 0.1364
Pd9 0.4387 0.9387 0.7409
Pd10 0.5000 0.0000 0.5000
Pd11 0.5613 0.0613 0.2591
Pd12 0.5663 0.2973 0.8636
Pd13 0.6978 0.4387 0.5000
Pd14 0.7027 0.5663 0.2690
Pd15 0.7973 0.0663 0.8636
Pd16 0.8022 0.3022 0.7409
Pd17 0.9337 0.7973 0.7310
Pd18 0.9387 0.1978 0.5000

Computed properties:
Electronic total energy ... -136.851 eV for the cell shown
Space-group type ... I4/mcm, No. 140
Formation enthalpy at 0 K ... -433 kJ/mol of formula units
Spin magnetization ... 0.00 Bohr magnetons per cell
V ... 20.87 Å³/atom

---

8.
## SrBi4Pd4 (PBE-GGA)

Data for a relaxed structure of SrBi4Pd4.

a b c (Å): 9.3250 9.3250 5.6087
angles (deg): 90.00 90.00 90.00
Fractional positions:
Sr1 0.2500 0.2500 0.2500
Sr2 0.7500 0.7500 0.7500
Bi1 0.0996 0.6306 0.1568
Bi2 0.1306 0.9004 0.6568
Bi3 0.3694 0.5996 0.6568
Bi4 0.4004 0.8694 0.1568
Bi5 0.5996 0.1306 0.8432
Bi6 0.6306 0.4004 0.3432
Bi7 0.8694 0.0996 0.3432
Bi8 0.9004 0.3694 0.8432
Pd1 0.0526 0.6088 0.6555
Pd2 0.1088 0.9474 0.1555
Pd3 0.3912 0.5526 0.1555
Pd4 0.4474 0.8912 0.6555
Pd5 0.5526 0.1088 0.3445
Pd6 0.6088 0.4474 0.8445
Pd7 0.8912 0.0526 0.8445
Pd8 0.9474 0.3912 0.3445

Computed properties:
Electronic total energy ... -82.390 eV for the cell shown
Space-group type ... P4_2/n, No. 86
Formation enthalpy at 0 K ... -310 kJ/mol of formula units
Spin magnetization ... 0.00 Bohr magnetons per cell
V ... 27.09 Å³/atom
Excess energy over the best structure of this formula in the dataset ... 21.0 meV/atom

---

9.
## SrBi4Pd4 (PBE-GGA)

Data for a relaxed structure of SrBi4Pd4.

a b c (Å): 7.1319 7.1319 9.0870
angles (deg): 90.00 90.00 90.00
Fractional positions:
Sr1 0.2500 0.7500 0.2500
Sr2 0.7500 0.2500 0.7500
Bi1 0.0054 0.2500 0.1096
Bi2 0.2500 0.0054 0.6096
Bi3 0.2500 0.4946 0.6096
Bi4 0.4946 0.2500 0.1096
Bi5 0.5054 0.7500 0.8904
Bi6 0.7500 0.5054 0.3904
Bi7 0.7500 0.9946 0.3904
Bi8 0.9946 0.7500 0.8904
Pd1 0.0511 0.2500 0.4172
Pd2 0.2500 0.0511 0.9172
Pd3 0.2500 0.4489 0.9172
Pd4 0.4489 0.2500 0.4172
Pd5 0.5511 0.7500 0.5828
Pd6 0.7500 0.5511 0.0828
Pd7 0.7500 0.9489 0.0828
Pd8 0.9489 0.7500 0.5828

Computed properties:
Electronic total energy ... -82.768 eV for the cell shown
Space-group type ... P4_2/nmc, No. 137
Formation enthalpy at 0 K ... -329 kJ/mol of formula units
Spin magnetization ... 0.00 Bohr magnetons per cell
V ... 25.68 Å³/atom
Excess energy over the best structure of this formula in the dataset ... 0.0 meV/atom

---

10.
## SrBi3Pd (PBE-GGA)

Data for a relaxed structure of SrBi3Pd.

a b c (Å): 4.6940 6.9107 6.9107
angles (deg): 42.92 90.00 90.00
Fractional positions:
Sr1 0.0000 0.0000 0.0000
Bi1 0.0000 0.7184 0.7184
Bi2 0.5000 0.2153 0.2153
Bi3 0.5000 0.4758 0.4758
Pd1 0.0000 0.3349 0.3349

Computed properties:
Electronic total energy ... -20.657 eV for the cell shown
Space-group type ... Amm2, No. 38
Formation enthalpy at 0 K ... -206 kJ/mol of formula units
Spin magnetization ... 0.00 Bohr magnetons per cell
V ... 30.53 Å³/atom
Excess energy over the best structure of this formula in the dataset ... 15.2 meV/atom

---

11.
## SrBiTePd2 (PBE-GGA)

Data for a relaxed structure of SrBiTePd2.

a b c (Å): 5.1840 5.1840 6.0263
angles (deg): 90.00 90.00 90.00
Fractional positions:
Sr1 0.0000 0.0000 0.0000
Bi1 0.5000 0.5000 0.5000
Te1 0.0000 0.0000 0.5000
Pd1 0.0000 0.5000 0.0000
Pd2 0.5000 0.0000 0.0000

Computed properties:
Electronic total energy ... -16.346 eV for the cell shown
Space-group type ... P4/mmm, No. 123
ΔE_f (raw) ... 0.55 eV/atom
Spin magnetization ... 0.00 Bohr magnetons per cell
V ... 32.39 Å³/atom

---

12.
## Sr2TlBi3Pd4 (PBE-GGA)

Data for a relaxed structure of Sr2TlBi3Pd4.

a b c (Å): 4.8389 4.8389 11.0521
angles (deg): 90.00 90.00 90.00
Fractional positions:
Sr1 0.0000 0.5000 0.2365
Sr2 0.5000 0.0000 0.7635
Tl1 0.0000 0.0000 0.5000
Bi1 0.0000 0.5000 0.8750
Bi2 0.5000 0.0000 0.1250
Bi3 0.5000 0.5000 0.5000
Pd1 0.0000 0.0000 0.0000
Pd2 0.0000 0.5000 0.6306
Pd3 0.5000 0.0000 0.3694
Pd4 0.5000 0.5000 0.0000

Computed properties:
Electronic total energy ... -43.603 eV for the cell shown
Space-group type ... P-4m2, No. 115
Formation enthalpy at 0 K ... -527 kJ/mol of formula units
Spin magnetization ... 0.00 Bohr magnetons per cell
V ... 25.88 Å³/atom

---

13.
## Sr3TlBi2Pd9 (PBE-GGA)

Data for a relaxed structure of Sr3TlBi2Pd9.

a b c (Å): 5.8823 5.8823 12.9559
angles (deg): 90.00 90.00 120.00
Fractional positions:
Sr1 0.0000 0.0000 0.0000
Sr2 0.3333 0.6667 0.7572
Sr3 0.6667 0.3333 0.2428
Tl1 0.0000 0.0000 0.5000
Bi1 0.3333 0.6667 0.1657
Bi2 0.6667 0.3333 0.8343
Pd1 0.0000 0.5000 0.0000
Pd2 0.1602 0.3205 0.3264
Pd3 0.1602 0.8398 0.3264
Pd4 0.3205 0.1602 0.6736
Pd5 0.5000 0.0000 0.0000
Pd6 0.5000 0.5000 0.0000
Pd7 0.6795 0.8398 0.3264
Pd8 0.8398 0.1602 0.6736
Pd9 0.8398 0.6795 0.6736

Computed properties:
Electronic total energy ... -66.733 eV for the cell shown
Space-group type ... P-3m1, No. 164
Formation enthalpy at 0 K ... -465 kJ/mol of formula units
Spin magnetization ... 0.00 Bohr magnetons per cell
V ... 25.88 Å³/atom

---

14.
## SrTlBiPd (PBE-GGA)

Data for a relaxed structure of SrTlBiPd.

a b c (Å): 5.3422 5.3422 5.3422
angles (deg): 60.00 60.00 60.00
Fractional positions:
Sr1 0.0000 0.0000 0.0000
Tl1 0.2500 0.2500 0.2500
Bi1 0.5000 0.5000 0.5000
Pd1 0.7500 0.7500 0.7500

Computed properties:
Electronic total energy ... -14.584 eV for the cell shown
Space-group type ... F-43m, No. 216
Formation enthalpy at 0 K ... -141 kJ/mol of formula units
Spin magnetization ... 0.00 Bohr magnetons per cell
V ... 26.95 Å³/atom

---

15.
## TaBi3Pd (PBE-GGA)

Data for a relaxed structure of TaBi3Pd.

a b c (Å): 5.2914 5.2914 5.2914
angles (deg): 90.00 90.00 90.00
Fractional positions:
Ta1 0.0000 0.0000 0.0000
Bi1 0.0000 0.5000 0.5000
Bi2 0.5000 0.0000 0.5000
Bi3 0.5000 0.5000 0.0000
Pd1 0.5000 0.5000 0.5000

Computed properties:
Electronic total energy ... -23.663 eV for the cell shown
Space-group type ... Pm-3m, No. 221
Formation enthalpy at 0 K ... 485 kJ/mol of formula units
Spin magnetization ... 2.23 Bohr magnetons per cell
V ... 29.63 Å³/atom
Excess energy over the best structure of this formula in the dataset ... 253.7 meV/atom

---

16.
## Ta3BiPd (PBE-GGA)

Data for a relaxed structure of Ta3BiPd.

a b c (Å): 4.8998 4.8998 4.8998
angles (deg): 90.00 90.00 90.00
Fractional positions:
Ta1 0.0000 0.0000 0.5000
Ta2 0.0000 0.5000 0.0000
Ta3 0.5000 0.0000 0.0000
Bi1 0.5000 0.5000 0.5000
Pd1 0.0000 0.0000 0.0000

Computed properties:
Electronic total energy ... -38.542 eV for the cell shown
Space-group type ... Pm-3m, No. 221
Formation enthalpy at 0 K ... 588 kJ/mol of formula units
Spin magnetization ... 0.00 Bohr magnetons per cell
V ... 23.53 Å³/atom
Excess energy over the best structure of this formula in the dataset ... 0.0 meV/atom

---

17.
## TaBi2Pd (PBE-GGA)

Data for a relaxed structure of TaBi2Pd.

a b c (Å): 7.6620 7.6620 7.6620
angles (deg): 130.13 130.13 73.19
Fractional positions:
Ta1 0.0000 0.0000 0.0000
Ta2 0.7500 0.2500 0.5000
Bi1 0.1331 0.6250 0.0081
Bi2 0.3750 0.3831 0.5081
Bi3 0.6169 0.1250 0.9919
Bi4 0.8750 0.8669 0.4919
Pd1 0.2500 0.7500 0.5000
Pd2 0.5000 0.5000 0.0000

Computed properties:
Electronic total energy ... -43.445 eV for the cell shown
Space-group type ... I-42d, No. 122
Formation enthalpy at 0 K ... 298 kJ/mol of formula units
Spin magnetization ... 0.00 Bohr magnetons per cell
V ... 32.09 Å³/atom

---

18.
## TaBi3Pd (PBE-GGA)

Data for a relaxed structure of TaBi3Pd.

a b c (Å): 5.4474 5.4474 5.4474
angles (deg): 90.00 90.00 90.00
Fractional positions:
Ta1 0.0000 0.0000 0.0000
Bi1 0.0000 0.0000 0.5000
Bi2 0.0000 0.5000 0.0000
Bi3 0.5000 0.0000 0.0000
Pd1 0.5000 0.5000 0.5000

Computed properties:
Electronic total energy ... -24.931 eV for the cell shown
Space-group type ... Pm-3m, No. 221
Formation enthalpy at 0 K ... 363 kJ/mol of formula units
Spin magnetization ... 0.00 Bohr magnetons per cell
V ... 32.33 Å³/atom
Excess energy over the best structure of this formula in the dataset ... 0.0 meV/atom

---

19.
## Ta2BiPd (PBE-GGA)

Data for a relaxed structure of Ta2BiPd.

a b c (Å): 10.7812 10.7812 10.7812
angles (deg): 158.68 158.68 30.33
Fractional positions:
Ta1 0.1237 0.6250 0.9987
Ta2 0.3750 0.3737 0.4987
Ta3 0.6263 0.1250 0.0013
Ta4 0.8750 0.8763 0.5013
Bi1 0.2500 0.7500 0.5000
Bi2 0.5000 0.5000 0.0000
Pd1 0.0000 0.0000 0.0000
Pd2 0.7500 0.2500 0.5000

Computed properties:
Electronic total energy ... -61.473 eV for the cell shown
Space-group type ... I-42d, No. 122
Formation enthalpy at 0 K ... 197 kJ/mol of formula units
Spin magnetization ... 0.00 Bohr magnetons per cell
V ... 20.69 Å³/atom

---

20.
## TaBi2Pd (PBE-GGA)

Data for a relaxed structure of TaBi2Pd.

a b c (Å): 5.0095 5.0095 5.0095
angles (deg): 60.00 60.00 60.00
Fractional positions:
Ta1 0.0000 0.0000 0.0000
Bi1 0.2500 0.2500 0.2500
Bi2 0.7500 0.7500 0.7500
Pd1 0.5000 0.5000 0.5000

Computed properties:
Electronic total energy ... -23.278 eV for the cell shown
Space-group type ... Fm-3m, No. 225
Formation enthalpy at 0 K ... 148 kJ/mol of formula units
Spin magnetization ... 0.00 Bohr magnetons per cell
V ... 22.22 Å³/atom